Entry 1:
Below is Ti2CrGe2 after structural relaxation, with properties calculated at the PBE level.

The space group is I4/mmm (No. 139) and the conventional cell measures 3.8428, 3.8428 and 11.7289 Å, with angles of 90.00, 90.00 and 90.00 degrees. The asymmetric unit holds Ti at (0.0000, 0.5000, 0.2500), Cr at (0.0000, 0.0000, 0.0000) and Ge at (0.0000, 0.0000, 0.4006).

As for the crystal system: tetragonal. For the formation energy, the calculation gives 0.051 eV per atom. Its total DFT energy (no corrections) is -0.2528 hartree per atom.

***

Entry 2:
Below is Nd3Sm5N8 after structural relaxation, with properties calculated at the PBE level.

The space group is R-3m (No. 166, hexagonal axes) and the conventional cell measures 7.2257, 7.2257 and 17.7012 Å, with angles of 90.00, 90.00 and 120.00 degrees. The asymmetric unit holds Nd at (0.0000, 0.5000, 0.0000), Sm at (0.0000, 0.0000, 0.0000), Sm at (0.0000, 0.0000, 0.5000), Sm at (0.0000, 0.5000, 0.5000), N at (0.0000, 0.0000, 0.2486) and N at (0.0017, 0.5009, 0.7509).

As for the crystal system: trigonal. Its total DFT energy (no corrections) is -0.2927 hartree per atom. The calculation puts the uncorrected formation energy at -1.432 eV per atom.

***

Entry 3:
Below is Th2InTe6 after structural relaxation, with properties calculated at the PBE level.

The space group is P4_2/mnm (No. 136) and the conventional cell measures 7.2655, 7.2655 and 13.8018 Å, with angles of 90.00, 90.00 and 90.00 degrees. The asymmetric unit holds Th at (0.0000, 0.0000, 0.1650), In at (0.0000, 0.0000, 0.5000), Te at (0.1967, 0.1967, 0.3389) and Te at (0.2042, 0.2042, 0.0000).

As for the crystal system: tetragonal. Its total DFT energy (no corrections) is -0.1731 hartree per atom. The calculation puts the uncorrected formation energy at -0.662 eV per atom.

***

Entry 4:
Below is MgGePdPt after structural relaxation, with properties calculated at the PBE level.

The space group is F-43m (No. 216) and the conventional cell measures 6.3129, 6.3129 and 6.3129 Å, with angles of 90.00, 90.00 and 90.00 degrees. The asymmetric unit holds Mg at (0.0000, 0.0000, 0.0000), Ge at (0.0000, 0.0000, 0.5000), Pd at (0.2500, 0.2500, 0.7500) and Pt at (0.2500, 0.2500, 0.2500).

The relative energy among the computed polymorphs comes out at 9 meV per atom. As for the crystal system: cubic. For the formation energy, the calculation gives -0.576 eV per atom. Its total DFT energy (no corrections) is -0.1815 hartree per atom.

***

Entry 5:
Below is YSiAg2 after structural relaxation, with properties calculated at the PBE level.

The space group is P2/m (No. 10) and the conventional cell measures 3.3733, 4.6284 and 5.3684 Å, with angles of 90.00, 92.25 and 90.00 degrees. The asymmetric unit holds Y at (0.0000, 0.0000, 0.0000), Si at (0.5000, 0.0000, 0.5000) and Ag at (0.4785, 0.5000, 0.7492).

As for the crystal system: monoclinic. Its total DFT energy (no corrections) is -0.1679 hartree per atom. The calculation puts the uncorrected formation energy at -0.171 eV per atom.

***

Entry 6:
Below is SnPRuO2 after structural relaxation, with properties calculated at the PBE level.

The space group is P4/mmm (No. 123) and the conventional cell measures 3.8668, 3.8668 and 5.1195 Å, with angles of 90.00, 90.00 and 90.00 degrees. The asymmetric unit holds Sn at (0.0000, 0.0000, 0.0000), P at (0.5000, 0.5000, 0.0000), Ru at (0.5000, 0.5000, 0.5000) and O at (0.0000, 0.5000, 0.5000).

The relative energy among the computed polymorphs comes out at 0 meV per atom. As for the crystal system: tetragonal. Its total DFT energy (no corrections) is -0.2239 hartree per atom. The calculation puts the uncorrected formation energy at -0.372 eV per atom.

***

no.,DOS at the Fermi energy (states/eV per cell),spin magnetization (μB/cell)
1,7.07,3.6
2,8.02,0.0
3,13.58,0.0
4,12.08,0.0
5,2.21,0.0
6,2.40,0.9